The following is a PBE calculation of LiCaEuCo after structural relaxation, from Alexandria.

a b c (Å): 7.201 7.201 7.201
angles (deg): 90.00 90.00 90.00
Space group F-43m (No. 216)
One atom of each set of equivalent atoms:
Li1 0.000 0.000 0.000 x4
Ca1 0.250 0.250 0.250 x4
Eu1 0.250 0.250 0.750 x4
Co1 0.000 0.000 0.500 x4

Properties
* total moment: 1.713 μB per atom
* E_tot: -0.1877 Ha/atom

The following is a PBE calculation of Rb2B2AsS6 after structural relaxation, from Alexandria.

a b c (Å): 13.881 6.337 7.773
angles (deg): 90.00 115.24 90.00
Space group C2/m (No. 12)
One atom of each set of equivalent atoms:
Rb1 0.184 0.000 0.208 x4
B1 0.012 0.500 0.300 x4
As1 0.000 0.000 0.500 x2
S1 0.071 0.259 0.749 x8
S2 0.144 0.500 0.331 x4

Properties
* total moment: 0.000 μB per atom
* raw formation energy: -455 meV per atom
* E_tot: -0.1661 Ha/atom

The following is a PBE calculation of Cd12Sb3P5 after structural relaxation, from Alexandria.

a b c (Å): 16.197 16.197 16.197
angles (deg): 90.00 90.00 90.00
Space group Ia-3d (No. 230)
One atom of each set of equivalent atoms:
Cd1 0.026 0.066 0.650 x96
Sb1 0.000 0.250 0.125 x24
P1 0.000 0.000 0.000 x16
P2 0.000 0.250 0.375 x24

Properties
* total moment: 0.000 μB per atom
* raw formation energy: 11 meV per atom
* E_tot: -0.0922 Ha/atom

The following is a PBE calculation of CeHg4Au after structural relaxation, from Alexandria.

a b c (Å): 5.060 16.687 7.168
angles (deg): 90.00 90.00 90.00
Space group Cmc2_1 (No. 36)
One atom of each set of equivalent atoms:
Ce1 0.000 0.173 0.000 x4
Hg1 0.000 0.014 0.316 x4
Hg2 0.000 0.195 0.468 x4
Hg3 0.000 0.357 0.185 x4
Hg4 0.000 0.468 0.539 x4
Au1 0.000 0.323 0.759 x4

Properties
* total moment: 0.184 μB per atom
* E_tot: -0.0729 Ha/atom

The following is a PBE calculation of PAuN2 after structural relaxation, from Alexandria.

a b c (Å): 4.879 4.879 7.689
angles (deg): 90.00 90.00 90.00
Space group I-42d (No. 122)
One atom of each set of equivalent atoms:
P1 0.000 0.000 0.000 x4
Au1 0.000 0.000 0.500 x4
N1 0.118 0.250 0.125 x8

Properties
* total moment: 0.000 μB per atom
* raw formation energy: 251 meV per atom
* E_tot: -0.2236 Ha/atom

The following is a PBE calculation of ZnBN after structural relaxation, from Alexandria.

a b c (Å): 2.619 5.741 13.663
angles (deg): 90.00 90.00 90.00
Space group Fmm2 (No. 42)
One atom of each set of equivalent atoms:
Zn1 0.000 0.000 0.000 x4
B1 0.000 0.000 0.274 x4
N1 0.000 0.000 0.771 x4

Properties
* total moment: 0.000 μB per atom
* raw formation energy: -92 meV per atom
* E_tot: -0.2028 Ha/atom

The following is a PBE calculation of PrY2Ru after structural relaxation, from Alexandria.

a b c (Å): 3.5499 3.5499 32.5589
angles (deg): 90.00 90.00 120.00
Space group R-3m (No. 166, hexagonal axes)
One atom of each set of equivalent atoms:
Pr1 0.0000 0.0000 0.0000 x3
Y1 0.0000 0.0000 0.1089 x6
Ru1 0.0000 0.0000 0.5000 x3

Properties
* total moment: 0.000 μB per atom
* E_tot: -0.2439 Ha/atom
* energy relative to the lowest polymorph listed for this composition: 0.364 eV/atom

The following is a PBE calculation of KNaC2 after structural relaxation, from Alexandria.

a b c (Å): 3.809 3.809 17.450
angles (deg): 90.00 90.00 90.00
Space group I4_1/amd (No. 141, origin choice 2)
One atom of each set of equivalent atoms:
K1 0.000 0.250 0.375 x4
Na1 0.000 0.250 0.875 x4
C1 0.000 0.000 0.000 x8

Properties
* total moment: 0.000 μB per atom
* E_tot: -0.1220 Ha/atom
* energy relative to the lowest polymorph listed for this composition: 0.000 eV/atom